An optimized crystal structure of RbSmTeO, computed with GGA-PBE.

a = 9.5610 Å, b = 7.6268 Å, c = 6.8610 Å
α = 90.00°, β = 102.18°, γ = 90.00°
Closest atoms and distances in Å follow each position.
Fractional positions:
1 Rb 0.1333 0.0810 0.3136  1 O 2.81
2 Rb 0.1333 0.4190 0.8136  1 O 2.81
3 Rb 0.8667 0.5810 0.1864  1 O 2.81
4 Rb 0.8667 0.9190 0.6864  1 O 2.81
5 Sm 0.4908 0.6385 0.7901  3 O 2.23-2.32
6 Sm 0.4908 0.8615 0.2901  3 O 2.23-2.32
7 Sm 0.5092 0.1385 0.7099  3 O 2.23-2.32
8 Sm 0.5092 0.3615 0.2099  3 O 2.23-2.32
9 Te 0.2540 0.5718 0.3588  3 Sm 3.26-3.36, 1 Rb 3.64
10 Te 0.2540 0.9282 0.8588  3 Sm 3.26-3.36, 1 Rb 3.64
11 Te 0.7460 0.0718 0.1412  3 Sm 3.26-3.36, 1 Rb 3.64
12 Te 0.7460 0.4282 0.6412  3 Sm 3.26-3.36, 1 Rb 3.64
13 O 0.4295 0.1393 0.3805  3 Sm 2.23-2.32
14 O 0.4295 0.3607 0.8805  3 Sm 2.23-2.32
15 O 0.5705 0.6393 0.1195  3 Sm 2.23-2.32
16 O 0.5705 0.8607 0.6195  3 Sm 2.23-2.32

Calculated values
ρ = 5.15 Mg/m³
DFT total energy = -88.472 eV per cell
Space-group type = P2_1/c
Magnetic moment = 0.00 Bohr magnetons per cell
Energy relative to the lowest polymorph listed for this composition = 0.000 eV per atom